First-principles (GGA-PBE) data for a relaxed Li3GePd crystal, as listed in Alexandria.

abc: 5.864 8.497 4.736
angles: 90.00 121.65 90.00
Space group C2/m (No. 12)
Asymmetric unit:
1 Li 0.000 0.000 0.000 (multiplicity 2)
2 Li 0.250 0.250 0.500 (multiplicity 4)
3 Ge 0.000 0.500 0.000 (multiplicity 2)
4 Pd 0.000 0.500 0.500 (multiplicity 2)

Calculated values
Density of states at the Fermi level in states/eV per atom: 0.254
Polymorph energy (0 for the lowest one) in meV per atom: 0.0
ΔH_f (0 K) in eV/atom: -0.26